The following is a DFT calculation (GGA-PBE) of a relaxed LaZn2GaAu2 crystal.

crystal system = tetragonal

The structure in CIF format:
```
data_LaZn2GaAu2
_chemical_formula_sum 'La1 Zn2 Ga1 Au2'
_space_group_name_H-M_alt 'P 4/m m m'
_space_group_IT_number 123
_space_group_name_Hall '-P 4 2'
_cell_length_a 4.649
_cell_length_b 4.649
_cell_length_c 6.004
_cell_angle_alpha 90.00
_cell_angle_beta 90.00
_cell_angle_gamma 90.00
loop_
_atom_site_label
_atom_site_type_symbol
_atom_site_fract_x
_atom_site_fract_y
_atom_site_fract_z
La1 La 0.000 0.000 0.000
Zn1 Zn 0.000 0.500 0.500
Ga1 Ga 0.000 0.000 0.500
Au1 Au 0.500 0.500 0.232
```

=====

The following is a DFT calculation (GGA-PBE) of a relaxed LaZnGa2Au5 crystal.

crystal system = tetragonal

The structure in CIF format:
```
data_LaZnGa2Au5
_chemical_formula_sum 'La1 Zn1 Ga2 Au5'
_space_group_name_H-M_alt 'P 4/m m m'
_space_group_IT_number 123
_space_group_name_Hall '-P 4 2'
_cell_length_a 5.032
_cell_length_b 5.032
_cell_length_c 7.506
_cell_angle_alpha 90.00
_cell_angle_beta 90.00
_cell_angle_gamma 90.00
loop_
_atom_site_label
_atom_site_type_symbol
_atom_site_fract_x
_atom_site_fract_y
_atom_site_fract_z
La1 La 0.000 0.000 0.000
Zn1 Zn 0.000 0.000 0.500
Ga1 Ga 0.500 0.500 0.340
Au1 Au 0.000 0.500 0.269
Au2 Au 0.500 0.500 0.000
```

=====

The following is a DFT calculation (GGA-PBE) of a relaxed LaZnGa3Au crystal.

crystal system = orthorhombic

The structure in CIF format:
```
data_LaZnGa3Au
_chemical_formula_sum 'La4 Zn4 Ga12 Au4'
_space_group_name_H-M_alt 'C m c m'
_space_group_IT_number 63
_space_group_name_Hall '-C 2c 2'
_cell_length_a 5.375
_cell_length_b 15.717
_cell_length_c 6.127
_cell_angle_alpha 90.00
_cell_angle_beta 90.00
_cell_angle_gamma 90.00
loop_
_atom_site_label
_atom_site_type_symbol
_atom_site_fract_x
_atom_site_fract_y
_atom_site_fract_z
La1 La 0.000 0.184 0.250
Zn1 Zn 0.000 0.382 0.250
Ga1 Ga 0.000 0.398 0.750
Ga2 Ga 0.230 0.000 0.000
Au1 Au 0.000 0.156 0.750
```

=====

The following is a DFT calculation (GGA-PBE) of a relaxed La2Zn3GaAu4 crystal.

crystal system = tetragonal

The structure in CIF format:
```
data_La2Zn3GaAu4
_chemical_formula_sum 'La2 Zn3 Ga1 Au4'
_space_group_name_H-M_alt 'P -4 m 2'
_space_group_IT_number 115
_space_group_name_Hall 'P -4 -2'
_cell_length_a 4.450
_cell_length_b 4.450
_cell_length_c 10.740
_cell_angle_alpha 90.00
_cell_angle_beta 90.00
_cell_angle_gamma 90.00
loop_
_atom_site_label
_atom_site_type_symbol
_atom_site_fract_x
_atom_site_fract_y
_atom_site_fract_z
La1 La 0.000 0.500 0.243
Zn1 Zn 0.000 0.000 0.000
Zn2 Zn 0.000 0.500 0.631
Ga1 Ga 0.500 0.500 0.000
Au1 Au 0.000 0.000 0.500
Au2 Au 0.000 0.500 0.868
Au3 Au 0.500 0.500 0.500
```

=====

The following is a DFT calculation (GGA-PBE) of a relaxed LaZrGa2Au crystal.

crystal system = tetragonal

The structure in CIF format:
```
data_LaZrGa2Au
_chemical_formula_sum 'La1 Zr1 Ga2 Au1'
_space_group_name_H-M_alt 'P 4/m m m'
_space_group_IT_number 123
_space_group_name_Hall '-P 4 2'
_cell_length_a 5.137
_cell_length_b 5.137
_cell_length_c 5.187
_cell_angle_alpha 90.00
_cell_angle_beta 90.00
_cell_angle_gamma 90.00
loop_
_atom_site_label
_atom_site_type_symbol
_atom_site_fract_x
_atom_site_fract_y
_atom_site_fract_z
La1 La 0.000 0.000 0.000
Zr1 Zr 0.500 0.500 0.500
Ga1 Ga 0.000 0.500 0.500
Au1 Au 0.500 0.500 0.000
```

=====

The following is a DFT calculation (GGA-PBE) of a relaxed Li3GaAu2 crystal.

crystal system = monoclinic
relative energy among the computed polymorphs = 2 meV/atom

The structure in CIF format:
```
data_Li3GaAu2
_chemical_formula_sum 'Li3 Ga1 Au2'
_space_group_name_H-M_alt 'P 1 2/m 1'
_space_group_IT_number 10
_space_group_name_Hall '-P 2y'
_cell_length_a 4.066
_cell_length_b 3.714
_cell_length_c 6.447
_cell_angle_alpha 90.00
_cell_angle_beta 107.70
_cell_angle_gamma 90.00
loop_
_atom_site_label
_atom_site_type_symbol
_atom_site_fract_x
_atom_site_fract_y
_atom_site_fract_z
Li1 Li 0.000 0.000 0.000
Li2 Li 0.328 0.000 0.656
Ga1 Ga 0.500 0.500 0.000
Au1 Au 0.161 0.500 0.321
```

=====

The following is a DFT calculation (GGA-PBE) of a relaxed LiGa3Au3 crystal.

crystal system = trigonal
relative energy among the computed polymorphs = 108 meV/atom

The structure in CIF format:
```
data_LiGa3Au3
_chemical_formula_sum 'Li3 Ga9 Au9'
_space_group_name_H-M_alt 'R 3 m'
_space_group_IT_number 160
_space_group_name_Hall 'R 3 -2"'
_cell_length_a 9.3423
_cell_length_b 9.3423
_cell_length_c 5.2351
_cell_angle_alpha 90.00
_cell_angle_beta 90.00
_cell_angle_gamma 120.00
loop_
_atom_site_label
_atom_site_type_symbol
_atom_site_fract_x
_atom_site_fract_y
_atom_site_fract_z
Li1 Li 0.0000 0.0000 0.0000
Ga1 Ga 0.9998 0.4999 0.9989
Au1 Au 0.0001 0.5001 0.4990
```

=====

The following is a DFT calculation (GGA-PBE) of a relaxed Li4GaAu3 crystal.

crystal system = tetragonal
relative energy among the computed polymorphs = 0 meV/atom

The structure in CIF format:
```
data_Li4GaAu3
_chemical_formula_sum 'Li4 Ga1 Au3'
_space_group_name_H-M_alt 'P 4/m m m'
_space_group_IT_number 123
_space_group_name_Hall '-P 4 2'
_cell_length_a 3.202
_cell_length_b 3.202
_cell_length_c 11.903
_cell_angle_alpha 90.00
_cell_angle_beta 90.00
_cell_angle_gamma 90.00
loop_
_atom_site_label
_atom_site_type_symbol
_atom_site_fract_x
_atom_site_fract_y
_atom_site_fract_z
Li1 Li 0.000 0.000 0.125
Li2 Li 0.000 0.000 0.368
Ga1 Ga 0.500 0.500 0.500
Au1 Au 0.500 0.500 0.000
Au2 Au 0.500 0.500 0.252
```

=====

The following is a DFT calculation (GGA-PBE) of a relaxed Li4GaAu3 crystal.

crystal system = monoclinic
relative energy among the computed polymorphs = 111 meV/atom

The structure in CIF format:
```
data_Li4GaAu3
_chemical_formula_sum 'Li8 Ga2 Au6'
_space_group_name_H-M_alt 'C 1 2/m 1'
_space_group_IT_number 12
_space_group_name_Hall '-C 2y'
_cell_length_a 22.415
_cell_length_b 2.911
_cell_length_c 4.254
_cell_angle_alpha 90.00
_cell_angle_beta 100.45
_cell_angle_gamma 90.00
loop_
_atom_site_label
_atom_site_type_symbol
_atom_site_fract_x
_atom_site_fract_y
_atom_site_fract_z
Li1 Li 0.104 0.000 0.106
Li2 Li 0.219 0.000 0.220
Ga1 Ga 0.000 0.000 0.500
Au1 Au 0.000 0.500 0.000
Au2 Au 0.161 0.500 0.661
```

=====

The following is a DFT calculation (GGA-PBE) of a relaxed Li3GaAu6 crystal.

crystal system = monoclinic
relative energy among the computed polymorphs = 0 meV/atom

The structure in CIF format:
```
data_Li3GaAu6
_chemical_formula_sum 'Li6 Ga2 Au12'
_space_group_name_H-M_alt 'P 1 21/m 1'
_space_group_IT_number 11
_space_group_name_Hall '-P 2yb'
_cell_length_a 7.639
_cell_length_b 4.741
_cell_length_c 9.835
_cell_angle_alpha 90.00
_cell_angle_beta 111.58
_cell_angle_gamma 90.00
loop_
_atom_site_label
_atom_site_type_symbol
_atom_site_fract_x
_atom_site_fract_y
_atom_site_fract_z
Li1 Li 0.091 0.250 0.222
Li2 Li 0.296 0.250 0.023
Li3 Li 0.324 0.750 0.371
Ga1 Ga 0.121 0.750 0.577
Au1 Au 0.069 0.250 0.719
Au2 Au 0.107 0.750 0.073
Au3 Au 0.275 0.250 0.514
Au4 Au 0.296 0.750 0.866
Au5 Au 0.484 0.250 0.331
Au6 Au 0.494 0.250 0.832
```

=====

The following is a DFT calculation (GGA-PBE) of a relaxed Li4Ga2Au5 crystal.

crystal system = orthorhombic
relative energy among the computed polymorphs = 0 meV/atom

The structure in CIF format:
```
data_Li4Ga2Au5
_chemical_formula_sum 'Li8 Ga4 Au10'
_space_group_name_H-M_alt 'P b a m'
_space_group_IT_number 55
_space_group_name_Hall '-P 2 2ab'
_cell_length_a 7.208
_cell_length_b 16.357
_cell_length_c 3.079
_cell_angle_alpha 90.00
_cell_angle_beta 90.00
_cell_angle_gamma 90.00
loop_
_atom_site_label
_atom_site_type_symbol
_atom_site_fract_x
_atom_site_fract_y
_atom_site_fract_z
Li1 Li 0.094 0.137 0.000
Li2 Li 0.217 0.440 0.000
Ga1 Ga 0.013 0.694 0.000
Au1 Au 0.000 0.000 0.500
Au2 Au 0.125 0.571 0.500
Au3 Au 0.206 0.796 0.500
```

=====

| no. | magnetization (μB/atom) | formation enthalpy at 0 K (eV/atom) | VASP energy (eV per cell) |
| --- | --- | --- | --- |
| 1 | 0.00 | -0.207 | -18.3 |
| 2 | 0.00 | -0.295 | -31.3 |
| 3 | 0.00 | -0.274 | -80.8 |
| 4 | 0.00 | -0.583 | -35.6 |
| 5 | 0.00 | -0.073 | -23.2 |
| 6 | 0.00 | -0.470 | -18.1 |
| 7 | 0.00 | -0.223 | -67.2 |
| 8 | 0.00 | -0.492 | -24.5 |
| 9 | 0.00 | -0.381 | -47.1 |
| 10 | 0.00 | -0.394 | -64.7 |
| 11 | 0.00 | -0.456 | -70.2 |